# 1
Pm4Cd2Ni (PBE, optimized geometry); symmetry = No. 139; DFT formation energy = -84 meV per atom; polymorph energy (0 for the lowest one) = 0.0602 eV/atom
1.0
-2.622 2.622 7.889
2.622 -2.622 7.889
2.622 2.622 -7.889
Pm Cd Ni
4 2 1
direct
0.000 0.500 0.500
0.179 0.179 0.000
0.500 0.000 0.500
0.821 0.821 0.000
0.374 0.374 0.000
0.626 0.626 0.000
0.000 0.000 0.000

***

# 2
Rb2ReHgBr6 (PBE, optimized geometry); symmetry = No. 225
1.0
0.000 5.803 5.803
5.803 0.000 5.803
5.803 5.803 0.000
Rb Re Hg Br
2 1 1 6
direct
0.250 0.250 0.250
0.750 0.750 0.750
0.000 0.000 0.000
0.500 0.500 0.500
0.219 0.219 0.781
0.219 0.781 0.219
0.219 0.781 0.781
0.781 0.219 0.219
0.781 0.219 0.781
0.781 0.781 0.219

***

# 3
LaZnTc2 (PBE, optimized geometry); symmetry = No. 12; DFT formation energy = 411 meV per atom
1.0
2.973 -4.539 0.000
2.973 4.539 0.000
-1.352 0.000 2.644
La Zn Tc
1 1 2
direct
0.000 0.000 0.000
0.500 0.500 0.000
0.000 0.500 0.500
0.500 0.000 0.500

***

Number 1: VASP energy -3.886 eV per atom, total moment 0.000 μB/cell. Number 2: VASP energy -3.296 eV per atom, total moment 3.000 μB/cell. Number 3: VASP energy -6.322 eV per atom, total moment 0.000 μB/cell.